No. 1
# SrLiGe2Pd2 (PBE-GGA, relaxed)
data_SrLiGe2Pd2
_cell_length_a 4.3407
_cell_length_b 4.3407
_cell_length_c 7.2439
_cell_angle_alpha 90.00
_cell_angle_beta 90.00
_cell_angle_gamma 120.00
_space_group_name_H-M_alt 'P -3 m 1'
_space_group_IT_number 164
_space_group_name_Hall '-P 3 2"'
loop_
_atom_site_label
_atom_site_type_symbol
_atom_site_fract_x
_atom_site_fract_y
_atom_site_fract_z
Sr1 Sr 0.0000 0.0000 0.0000
Li1 Li 0.0000 0.0000 0.5000
Ge1 Ge 0.3333 0.6667 0.2930
Pd1 Pd 0.3333 0.6667 0.6428
# **ΔH_f (0 K)**: -0.69 eV/atom
# **Electronic total energy**: -4.558 eV per atom
# **Calculated volume**: 118.2 Å³/f.u.

No. 2
# KMg3Cl (PBE-GGA, relaxed)
data_KMg3Cl
_cell_length_a 5.607
_cell_length_b 5.607
_cell_length_c 5.607
_cell_angle_alpha 90.00
_cell_angle_beta 90.00
_cell_angle_gamma 90.00
_space_group_name_H-M_alt 'P m -3 m'
_space_group_IT_number 221
_space_group_name_Hall '-P 4 2 3'
loop_
_atom_site_label
_atom_site_type_symbol
_atom_site_fract_x
_atom_site_fract_y
_atom_site_fract_z
K1 K 0.000 0.000 0.000
Mg1 Mg 0.000 0.500 0.500
Cl1 Cl 0.500 0.500 0.500
# **Offset from the most stable computed form**: 0 meV per atom
# **Electronic total energy**: -1.477 eV per atom
# **Calculated volume**: 176.3 Å³/f.u.

No. 3
# RbNa8Tl4 (PBE-GGA, relaxed)
data_RbNa8Tl4
_cell_length_a 11.475
_cell_length_b 11.475
_cell_length_c 6.694
_cell_angle_alpha 90.00
_cell_angle_beta 90.00
_cell_angle_gamma 90.00
_space_group_name_H-M_alt 'I 4/m m m'
_space_group_IT_number 139
_space_group_name_Hall '-I 4 2'
loop_
_atom_site_label
_atom_site_type_symbol
_atom_site_fract_x
_atom_site_fract_y
_atom_site_fract_z
Rb1 Rb 0.000 0.000 0.000
Na1 Na 0.000 0.226 0.500
Na2 Na 0.000 0.341 0.000
Tl1 Tl 0.250 0.250 0.250
# **ΔH_f (0 K)**: -0.09 eV/atom
# **Electronic total energy**: -1.701 eV per atom
# **Calculated volume**: 440.7 Å³/f.u.

No. 4
# LiTmTaN3 (PBE-GGA, relaxed)
data_LiTmTaN3
_cell_length_a 6.656
_cell_length_b 3.153
_cell_length_c 6.701
_cell_angle_alpha 90.00
_cell_angle_beta 103.15
_cell_angle_gamma 90.00
_space_group_name_H-M_alt 'P 1 21/m 1'
_space_group_IT_number 11
loop_
_space_group_symop_operation_xyz
'x,y,z'
'-x,-y,-z'
'-x,y+1/2,-z'
'x,-y+1/2,z'
loop_
_atom_site_label
_atom_site_type_symbol
_atom_site_fract_x
_atom_site_fract_y
_atom_site_fract_z
Li1 Li 0.077 0.250 0.085
Tm1 Tm 0.202 0.250 0.730
Ta1 Ta 0.328 0.750 0.315
N1 N 0.131 0.250 0.368
N2 N 0.219 0.750 0.014
N3 N 0.443 0.750 0.666
# **Electronic total energy**: -8.332 eV per atom
# **Calculated volume**: 68.5 Å³/f.u.